Record 1
The following is a DFT calculation (PBE-GGA) of a geometry-optimized GeP2OsS structure.

Structure (POSCAR):
```
GeP2OsS
1.0
-3.8376 0.2958 2.2247
-1.9222 -2.7079 -2.9558
1.3799 -4.1851 2.9367
S P Os Ge
1 2 1 1
direct
0.0000 0.0000 0.5000
0.5000 0.0000 0.0000
0.0000 0.5000 0.0000
0.0000 0.0000 0.0000
0.5000 0.5000 0.5000
```

Calculated total energy, eV/atom: -5.517
N(E_F), states/eV/f.u.: 3.19
Energy relative to the elements, uncorrected, kJ/mol of atoms: 62

***

Record 2
The following is a DFT calculation (PBE-GGA) of a geometry-optimized CaLa2TiF structure.

Structure (POSCAR):
```
CaLa2TiF
1.0
5.5367 0.0000 0.0000
0.0000 4.2687 0.0000
0.0000 0.0000 5.5367
La F Ca Ti
2 1 1 1
direct
0.0000 0.0000 0.5000
0.5000 0.0000 0.0000
0.0000 0.0000 0.0000
0.5000 0.5000 0.5000
0.0000 0.5000 0.0000
```

Calculated total energy, eV/atom: -5.034
N(E_F), states/eV/f.u.: 4.72
Energy relative to the elements, uncorrected, kJ/mol of atoms: -68

***

Record 3
The following is a DFT calculation (PBE-GGA) of a geometry-optimized Pm8Sm2Tm structure.

Structure (POSCAR):
```
Pm8Sm2Tm
1.0
-3.2472 -3.0883 -2.5074
5.7636 -5.7028 -0.4401
-2.8747 -0.1426 9.1566
Pm Sm Tm
8 2 1
direct
0.1359 0.1810 0.2719
0.8641 0.8190 0.7281
0.3188 0.0904 0.6375
0.9545 0.2712 0.9090
0.4095 0.5481 0.8190
0.0455 0.7288 0.0910
0.5905 0.4519 0.1810
0.6812 0.9096 0.3625
0.7733 0.3640 0.5466
0.2267 0.6360 0.4534
0.5000 0.0000 0.0000
```

Calculated total energy, eV/atom: -4.704
N(E_F), states/eV/f.u.: 16.40

***

Record 4
The following is a DFT calculation (PBE-GGA) of a geometry-optimized LiGa2Co structure.

Structure (POSCAR):
```
LiGa2Co
1.0
-1.0964 3.6642 -0.1206
0.0753 -0.1034 -3.8244
-8.7340 -0.6833 -2.0678
Li Co Ga
2 2 4
direct
0.5000 0.5000 0.0000
0.2500 0.7500 0.5000
0.0000 0.0000 0.0000
0.7500 0.2500 0.5000
0.8750 0.8961 0.7500
0.1039 0.6250 0.2500
0.6461 0.1250 0.2500
0.3750 0.3539 0.7500
```

Calculated total energy, eV/atom: -3.594
N(E_F), states/eV/f.u.: 4.49

***

Record 5
The following is a DFT calculation (PBE-GGA) of a geometry-optimized ZrScTcHg structure.

Structure (POSCAR):
```
ZrScTcHg
1.0
4.7925 0.0000 0.0000
2.3962 4.1504 0.0000
2.3962 1.3835 3.9130
Sc Zr Hg Tc
1 1 1 1
direct
0.0000 0.0000 0.0000
0.5000 0.5000 0.5000
0.2500 0.2500 0.2500
0.7500 0.7500 0.7500
```

Calculated total energy, eV/atom: -6.609
N(E_F), states/eV/f.u.: 2.60

***

Record 6
The following is a DFT calculation (PBE-GGA) of a geometry-optimized CaSmEr2 structure.

Structure (POSCAR):
```
CaSmEr2
1.0
5.1432 0.0000 0.0000
0.0000 5.0782 0.0000
0.0000 0.0000 5.0782
Sm Ca Er
1 1 2
direct
0.5000 0.5000 0.5000
0.5000 0.0000 0.0000
0.0000 0.5000 0.0000
0.0000 0.0000 0.5000
```

Calculated total energy, eV/atom: -3.828
N(E_F), states/eV/f.u.: 6.78

***

Record 7
The following is a DFT calculation (PBE-GGA) of a geometry-optimized LiAcPdO3 structure.

Structure (POSCAR):
```
LiAcPdO3
1.0
5.5804 0.0000 0.0000
0.0000 5.3255 0.0000
0.0000 -2.6627 5.5677
Pd Ac Li O
2 2 2 6
direct
0.2500 0.9866 0.9732
0.7500 0.0134 0.0268
0.7500 0.3102 0.6205
0.2500 0.6898 0.3795
0.2500 0.4231 0.8463
0.7500 0.5769 0.1537
0.5000 0.2747 0.0000
0.7500 0.7434 0.4868
0.0000 0.7253 0.0000
0.5000 0.7253 0.0000
0.2500 0.2566 0.5132
0.0000 0.2747 0.0000
```

Calculated total energy, eV/atom: -6.166
Energy relative to the elements, uncorrected, kJ/mol of atoms: -175

***

Record 8
The following is a DFT calculation (PBE-GGA) of a geometry-optimized Dy2InH structure.

Structure (POSCAR):
```
Dy2InH
1.0
-1.9538 4.8240 -4.1675
-4.7991 -3.7263 -2.0634
-4.2904 1.7210 6.8706
Dy H In
8 4 4
direct
0.1662 0.8974 0.1664
0.9729 0.2513 0.4606
0.0271 0.7487 0.5394
0.5271 0.7513 0.5394
0.4729 0.2487 0.4606
0.6662 0.6026 0.1664
0.3338 0.3974 0.8336
0.8338 0.1026 0.8336
0.7304 0.5154 0.4347
0.7696 0.0154 0.5653
0.2304 0.9846 0.4347
0.2696 0.4846 0.5653
0.1423 0.4108 0.1542
0.3577 0.9108 0.8458
0.8577 0.5892 0.8458
0.6423 0.0892 0.1542
```

Calculated total energy, eV/atom: -4.199
N(E_F), states/eV/f.u.: 2.90

***

Record 9
The following is a DFT calculation (PBE-GGA) of a geometry-optimized LiZrHRh2 structure.

Structure (POSCAR):
```
LiZrHRh2
1.0
-1.9573 2.5438 -2.5908
-3.0825 -2.7196 -0.3414
-1.7141 1.5848 2.8510
Rh Zr Li H
2 1 1 1
direct
0.0000 0.5000 0.0000
0.5000 0.0000 0.0000
0.5000 0.5000 0.5000
0.0000 0.0000 0.5000
0.0000 0.0000 0.0000
```

Calculated total energy, eV/atom: -6.248
N(E_F), states/eV/f.u.: 1.11

***

Record 10
The following is a DFT calculation (PBE-GGA) of a geometry-optimized Pm2Tl2Cd15 structure.

Structure (POSCAR):
```
Pm2Tl2Cd15
1.0
7.6722 -0.0956 0.8956
0.7861 7.6324 0.8956
-0.1073 -0.0956 7.7236
Cd Pm Tl
15 2 2
direct
0.0000 0.0000 0.5000
0.6849 0.0000 0.3151
0.0000 0.5000 0.0000
0.3151 0.0000 0.6849
0.0000 0.6849 0.3151
0.6448 0.1736 0.6448
0.5000 0.0000 0.0000
0.8264 0.3552 0.3552
0.3552 0.8264 0.3552
0.3552 0.3552 0.8264
0.0000 0.3151 0.6849
0.6849 0.3151 0.0000
0.6448 0.6448 0.1736
0.3151 0.6849 0.0000
0.1736 0.6448 0.6448
0.3326 0.3326 0.3326
0.6674 0.6674 0.6674
0.1035 0.1035 0.1035
0.8965 0.8965 0.8965
```

Calculated total energy, eV/atom: -1.583
N(E_F), states/eV/f.u.: 7.95

***

Record 11
The following is a DFT calculation (PBE-GGA) of a geometry-optimized ZrTa2As structure.

Structure (POSCAR):
```
ZrTa2As
1.0
5.4514 -0.0048 -0.0029
2.3912 4.8990 0.0029
-3.4946 -3.1308 2.7755
Ta Zr As
2 1 1
direct
0.4965 0.4965 0.0000
0.0035 0.0035 0.0000
0.7500 0.2500 0.5000
0.2500 0.7500 0.5000
```

Calculated total energy, eV/atom: -9.382
N(E_F), states/eV/f.u.: 3.08

***

Record 12
The following is a DFT calculation (PBE-GGA) of a geometry-optimized KTa2V structure.

Structure (POSCAR):
```
KTa2V
1.0
-3.5493 -1.9858 -0.4097
0.9247 -0.8502 -3.8898
3.2520 -10.1958 0.8538
Ta V K
4 2 2
direct
0.0990 0.1250 0.2500
0.8750 0.3490 0.7500
0.6510 0.6250 0.2500
0.3750 0.9010 0.7500
0.7500 0.2500 0.5000
0.0000 0.0000 0.0000
0.2500 0.7500 0.5000
0.5000 0.5000 0.0000
```

Calculated total energy, eV/atom: -6.751
N(E_F), states/eV/f.u.: 5.27

***

Record 13
The following is a DFT calculation (PBE-GGA) of a geometry-optimized PmNd2Al structure.

Structure (POSCAR):
```
PmNd2Al
1.0
-1.1490 3.3441 1.1087
-3.6244 0.6999 0.3260
-1.3078 -1.9375 10.6815
Al Pm Nd
1 1 2
direct
0.6664 0.6664 0.0008
0.5000 0.5000 0.5000
0.2617 0.2617 0.2149
0.0719 0.0719 0.7843
```

Calculated total energy, eV/atom: -4.535
N(E_F), states/eV/f.u.: 4.71

***

Record 14
The following is a DFT calculation (PBE-GGA) of a geometry-optimized RbCu2BrF structure.

Structure (POSCAR):
```
RbCu2BrF
1.0
-0.4626 2.6307 3.5033
-5.6056 1.9609 -2.2127
-2.0024 -3.2602 2.1837
Br Cu Rb F
1 2 1 1
direct
0.5000 0.5000 0.5000
0.0000 0.0000 0.5000
0.5000 0.0000 0.0000
0.0000 0.5000 0.0000
0.0000 0.0000 0.0000
```

Calculated total energy, eV/atom: -3.018
N(E_F), states/eV/f.u.: 1.51
Energy relative to the elements, uncorrected, kJ/mol of atoms: -46

***

Record 15
The following is a DFT calculation (PBE-GGA) of a geometry-optimized AgSnSe2 structure.

Structure (POSCAR):
```
AgSnSe2
1.0
-4.9817 -0.6158 4.8738
-1.6387 -2.3734 6.3744
-2.0320 1.6701 6.4832
Se Sn Ag
2 1 1
direct
0.7477 0.7477 0.7477
0.2523 0.2523 0.2523
0.5000 0.5000 0.5000
0.0000 0.0000 0.0000
```

Calculated total energy, eV/atom: -3.746
N(E_F), states/eV/f.u.: 1.04
Energy relative to the elements, uncorrected, kJ/mol of atoms: -28

***

Record 16
The following is a DFT calculation (PBE-GGA) of a geometry-optimized BeSiSe structure.

Structure (POSCAR):
```
BeSiSe
1.0
3.7579 0.0002 -0.0019
1.8791 3.2547 0.0005
0.0160 2.1005 11.2404
Si Be Se
2 2 2
direct
0.4438 0.9139 0.2103
0.1269 0.5476 0.2613
0.5962 0.6263 0.6641
0.9749 0.8685 0.8057
0.9092 0.0007 0.6005
0.6620 0.4939 0.8692
```

Calculated total energy, eV/atom: -4.473
Energy relative to the elements, uncorrected, kJ/mol of atoms: -25

***

Record 17
The following is a DFT calculation (PBE-GGA) of a geometry-optimized AcGaSb structure.

Structure (POSCAR):
```
AcGaSb
1.0
-1.8057 1.1102 -5.0188
-5.4286 -6.3527 0.5479
-5.7405 5.1825 3.2118
Sb Ac Ga
4 4 4
direct
0.5000 0.3135 0.5000
0.0000 0.5000 0.6865
0.0000 0.5000 0.3135
0.5000 0.6865 0.5000
0.0000 0.2601 0.0000
0.5000 0.0000 0.7399
0.5000 0.0000 0.2601
0.0000 0.7399 0.0000
0.0000 0.1606 0.5000
0.0000 0.8394 0.5000
0.5000 0.5000 0.8394
0.5000 0.5000 0.1606
```

Calculated total energy, eV/atom: -3.855
N(E_F), states/eV/f.u.: 2.35
Energy relative to the elements, uncorrected, kJ/mol of atoms: -10

***

Record 18
The following is a DFT calculation (PBE-GGA) of a geometry-optimized NbTe2SI structure.

Structure (POSCAR):
```
NbTe2SI
1.0
-2.9822 -4.2403 -0.0031
3.3911 -2.3827 -3.1139
2.6682 -1.8797 4.3441
Nb I Te S
1 1 2 1
direct
0.5000 0.5000 0.5000
0.0000 0.0000 0.5000
0.5000 0.0000 0.0000
0.0000 0.5000 0.0000
0.0000 0.0000 0.0000
```

Calculated total energy, eV/atom: -3.514
N(E_F), states/eV/f.u.: 3.49
Energy relative to the elements, uncorrected, kJ/mol of atoms: 86

***

Record 19
The following is a DFT calculation (PBE-GGA) of a geometry-optimized Ba3Mg5 structure.

Structure (POSCAR):
```
Ba3Mg5
1.0
4.3836 -5.9018 0.0000
4.3836 5.9018 0.0000
0.0000 0.0000 5.6829
Mg Ba
5 3
direct
0.2145 0.2145 0.5000
0.0000 0.0000 0.0000
0.5000 0.0000 0.0000
0.7855 0.7855 0.5000
0.0000 0.5000 0.0000
0.7517 0.2483 0.5000
0.2483 0.7517 0.5000
0.5000 0.5000 0.0000
```

Calculated total energy, eV/atom: -1.681
N(E_F), states/eV/f.u.: 8.08

***

Record 20
The following is a DFT calculation (PBE-GGA) of a geometry-optimized LiZn2Mo structure.

Structure (POSCAR):
```
LiZn2Mo
1.0
2.6414 0.0000 0.0000
0.0000 3.7398 0.0000
0.0000 0.0000 5.9162
Li Mo Zn
1 1 2
direct
0.5000 0.5000 0.2500
0.5000 0.5000 0.7500
0.0000 0.0000 0.4941
0.0000 0.0000 0.0059
```

Calculated total energy, eV/atom: -3.743
N(E_F), states/eV/f.u.: 2.32